Crystalline KIr2Os at its relaxed geometry, computed with GGA-PBE.

Structure (CIF):
```
data_KIr2Os
_cell_length_a 2.7994
_cell_length_b 2.7994
_cell_length_c 30.2815
_cell_angle_alpha 90.00
_cell_angle_beta 90.00
_cell_angle_gamma 120.00
_space_group_name_H-M_alt 'R -3 m'
_space_group_IT_number 166
_space_group_name_Hall '-R 3 2"'
loop_
_atom_site_label
_atom_site_type_symbol
_atom_site_fract_x
_atom_site_fract_y
_atom_site_fract_z
K1 K 0.0000 0.0000 0.0000
Ir1 Ir 0.0000 0.0000 0.2372
Os1 Os 0.0000 0.0000 0.5000
```

Summary:
Volume ... 68.5 Å³/f.u.
Calculated formation energy ... 0.605 eV/atom
DOS(E_F) ... 25.76 states/eV per cell
VASP energy ... -6.91 eV/atom